Here is a relaxed structure of LaThRu from Alexandria via LeMat-Bulk. Energies are from PBE.

calculated volume: 28.65 Å³/atom
ΔE to the lowest computed polymorph: 48 kJ/mol of formula units

a b c (Å): 4.953 4.953 4.953
angles (deg): 60.00 60.00 60.00
Fractional positions:
Ru 0.250 0.250 0.250
Th 0.500 0.500 0.500
La 0.000 0.000 0.000



Here is a relaxed structure of LaTh2Ru from Alexandria via LeMat-Bulk. Energies are from PBE.

calculated volume: 29.24 Å³/atom
ΔE to the lowest computed polymorph: 0 kJ/mol of formula units

a b c (Å): 6.499 7.281 9.886
angles (deg): 90.00 90.00 90.00
Fractional positions:
La 0.644 0.538 0.250
La 0.856 0.038 0.250
La 0.356 0.462 0.750
La 0.144 0.962 0.750
Th 0.162 0.672 0.063
Th 0.338 0.172 0.437
Th 0.838 0.328 0.563
Th 0.662 0.828 0.937
Th 0.838 0.328 0.937
Th 0.662 0.828 0.563
Th 0.162 0.672 0.437
Th 0.338 0.172 0.063
Ru 0.120 0.388 0.250
Ru 0.380 0.888 0.250
Ru 0.880 0.612 0.750
Ru 0.620 0.112 0.750



Here is a relaxed structure of LaTh2Ru from Alexandria via LeMat-Bulk. Energies are from PBE.

calculated volume: 33.32 Å³/atom
ΔE to the lowest computed polymorph: 113 kJ/mol of formula units

a b c (Å): 3.862 3.862 10.556
angles (deg): 79.46 79.46 60.00
Fractional positions:
Ru 0.500 0.500 0.500
Th 0.113 0.113 0.662
Th 0.887 0.887 0.338
La 0.000 0.000 0.000



Here is a relaxed structure of La3ThRu8 from Alexandria via LeMat-Bulk. Energies are from PBE.

calculated volume: 19.03 Å³/atom

a b c (Å): 5.426 5.426 9.488
angles (deg): 73.39 73.39 60.00
Fractional positions:
La 0.375 0.375 0.875
La 0.002 0.002 0.995
La 0.499 0.499 0.504
Th 0.875 0.875 0.374
Ru 0.936 0.437 0.190
Ru 0.441 0.937 0.685
Ru 0.437 0.437 0.190
Ru 0.937 0.937 0.685
Ru 0.187 0.187 0.438
Ru 0.687 0.687 0.938
Ru 0.437 0.936 0.190
Ru 0.937 0.441 0.685



Here is a relaxed structure of LaThTlRu from Alexandria via LeMat-Bulk. Energies are from PBE.

calculated volume: 30.16 Å³/atom

a b c (Å): 4.089 4.076 8.682
angles (deg): 89.99 103.69 119.92
Fractional positions:
La 0.509 0.152 0.675
Th 0.094 0.945 0.054
Tl 0.962 0.379 0.358
Ru 0.314 0.554 0.883



Here is a relaxed structure of LaTi2Ru from Alexandria via LeMat-Bulk. Energies are from PBE.

calculated volume: 18.16 Å³/atom
ΔE to the lowest computed polymorph: 0 kJ/mol of formula units

a b c (Å): 4.684 4.684 4.684
angles (deg): 60.00 60.00 60.00
Fractional positions:
Ru 0.000 0.000 0.000
Ti 0.250 0.250 0.250
Ti 0.750 0.750 0.750
La 0.500 0.500 0.500



Here is a relaxed structure of La3TiRu from Alexandria via LeMat-Bulk. Energies are from PBE.

calculated volume: 33.21 Å³/atom
ΔE to the lowest computed polymorph: 0 kJ/mol of formula units

a b c (Å): 5.496 5.496 5.496
angles (deg): 90.00 90.00 90.00
Each line ends with the local moment (μB).
Fractional positions:
Ru 0.000 0.000 0.000  -0.06
Ti 0.500 0.500 0.500  -1.75
La 0.000 0.500 0.000  -0.06
La 0.000 0.000 0.500  -0.04
La 0.500 0.000 0.000  -0.10



Here is a relaxed structure of La2TiRu from Alexandria via LeMat-Bulk. Energies are from PBE.

calculated volume: 24.22 Å³/atom
ΔE to the lowest computed polymorph: 0 kJ/mol of formula units

a b c (Å): 5.155 5.155 5.155
angles (deg): 60.00 60.00 60.00
Each line ends with the local moment (μB).
Fractional positions:
Ru 0.500 0.500 0.500  0.03
Ti 0.000 0.000 0.000  1.54
La 0.250 0.250 0.250  0.17
La 0.750 0.750 0.750  0.17



| no. | E (eV per atom) | magnetic moment (μB/atom) |
| --- | --- | --- |
| 1 | -7.37 | 0.00 |
| 2 | -7.55 | 0.00 |
| 3 | -7.26 | 0.00 |
| 4 | -8.22 | 0.00 |
| 5 | -6.31 | 0.00 |
| 6 | -7.42 | 0.00 |
| 7 | -6.18 | 0.60 |
| 8 | -6.54 | 0.63 |